Entry from Alexandria via LeMat-Bulk: crystalline AcNdTl6 at its relaxed geometry (PBE-GGA).

Cell: 4.9280 4.9280 9.8395 Å, 90.00 90.00 90.00°
Last column: nearest neighbours and their distance in Å.
Positions (direct):
Tl1 0.5000 0.0000 0.2582  8 Tl 3.43-3.54, 2 Nd 3.43, 2 Ac 3.54
Tl2 0.0000 0.5000 0.7418  8 Tl 3.43-3.54, 2 Nd 3.43, 2 Ac 3.54
Nd1 0.0000 0.0000 0.5000  12 Tl 3.43-3.48
Ac1 0.0000 0.0000 0.0000  12 Tl 3.48-3.54
Tl3 0.0000 0.5000 0.2582  8 Tl 3.43-3.54, 2 Nd 3.43, 2 Ac 3.54
Tl4 0.5000 0.5000 0.5000  8 Tl 3.43, 4 Nd 3.48
Tl5 0.5000 0.0000 0.7418  8 Tl 3.43-3.54, 2 Nd 3.43, 2 Ac 3.54
Tl6 0.5000 0.5000 0.0000  4 Ac 3.48, 8 Tl 3.54

Computed properties:
The value obtained for the formation energy is -0.32 eV/atom. The mass density is 11.10 g/cm3. The space-group type is P4/mmm, No. 123. The uncorrected energy is -3.199 eV per atom. The total magnetic moment is 0.00 Bohr magnetons per cell. For the volume, the calculation gives 239.0 Å³/cell.